VASP calculation (GGA+U) on an optimized crystal structure of La2CoF.

a b c (Å): 4.0900 4.0900 23.0976
angles (deg): 90.00 90.00 120.00
Last column: nearest neighbours and their distance in Å.
Space group R-3m (No. 166, hexagonal axes)
Unique sites:
La 0.0000 0.0000 0.1024  1 F 2.36
Co 0.0000 0.0000 0.5000  6 La 2.79
F 0.0000 0.0000 0.0000  2 La 2.36

Summary:
- DFT total energy (Ha/atom) = -0.1951
- polymorph energy (0 for the lowest one) (eV per atom) = 0.000